No. 1
Here is an optimized crystal structure of TbPr4NdTm2 from Alexandria via LeMat-Bulk. Energies are from PBE.

a = 3.652 Å, b = 6.294 Å, c = 11.954 Å
α = 79.82°, β = 90.00°, γ = 90.00°
Fractional positions:
Tm  0.500  0.000  0.500
Tm  0.000  0.000  0.000
Tb  0.500  0.500  0.000
Nd  0.000  0.500  0.500
Pr  0.000  0.249  0.250
Pr  0.500  0.248  0.754
Pr  0.000  0.751  0.750
Pr  0.500  0.752  0.246

Summary:
ΔH_f (0 K): 2 kJ per mole of atoms
M_tot: 0.00 Bohr magnetons per cell

No. 2
Here is an optimized crystal structure of CdFeSi2 from Alexandria via LeMat-Bulk. Energies are from PBE.

a = 4.169 Å, b = 4.169 Å, c = 8.549 Å
α = 75.89°, β = 75.89°, γ = 90.00°
Fractional positions:
Si  0.218  0.625  0.250
Si  0.375  0.468  0.750
Fe  0.500  0.500  0.000
Cd  0.750  0.250  0.500
Si  0.532  0.125  0.250
Si  0.875  0.782  0.750
Fe  0.250  0.750  0.500
Cd  0.000  0.000  0.000

Summary:
formation energy from raw total energies: 0.342 eV/atom
M_tot: 3.95 Bohr magnetons per cell

No. 3
Here is an optimized crystal structure of HfZrZn2 from Alexandria via LeMat-Bulk. Energies are from PBE.

a = 3.318 Å, b = 3.318 Å, c = 6.664 Å
α = 90.00°, β = 90.00°, γ = 90.00°
Fractional positions:
Zn  0.000  0.000  0.756
Hf  0.500  0.500  0.000
Zr  0.500  0.500  0.500
Zn  0.000  0.000  0.244

Summary:
energy above the most stable polymorph in this dataset: 0 meV/atom
ΔH_f (0 K): -23 kJ per mole of atoms
M_tot: 0.00 Bohr magnetons per cell

No. 4
Here is an optimized crystal structure of CaOsS2 from Alexandria via LeMat-Bulk. Energies are from PBE.

a = 4.528 Å, b = 4.528 Å, c = 4.528 Å
α = 60.00°, β = 60.00°, γ = 60.00°
Fractional positions:
Os  0.500  0.500  0.500
S  0.750  0.750  0.750
Ca  0.000  0.000  0.000
S  0.250  0.250  0.250

Summary:
energy above the most stable polymorph in this dataset: 394 meV/atom
formation energy from raw total energies: -0.181 eV/atom
M_tot: 0.00 Bohr magnetons per cell

No. 5
Here is an optimized crystal structure of Tb12ErSc7 from Alexandria via LeMat-Bulk. Energies are from PBE.

a = 9.048 Å, b = 9.048 Å, c = 9.048 Å
α = 108.28°, β = 108.28°, γ = 108.28°
Fractional positions:
Sc  0.896  0.315  0.997
Tb  0.703  0.593  0.936
Tb  0.325  0.620  0.798
Tb  0.064  0.297  0.407
Sc  0.104  0.685  0.003
Tb  0.675  0.380  0.202
Tb  0.202  0.675  0.380
Tb  0.798  0.325  0.620
Tb  0.297  0.407  0.064
Sc  0.003  0.104  0.685
Er  0.000  0.000  0.000
Sc  0.315  0.997  0.896
Tb  0.620  0.798  0.325
Sc  0.500  0.500  0.500
Sc  0.997  0.896  0.315
Tb  0.380  0.202  0.675
Sc  0.685  0.003  0.104
Tb  0.593  0.936  0.703
Tb  0.936  0.703  0.593
Tb  0.407  0.064  0.297

Summary:
energy above the most stable polymorph in this dataset: 0 meV/atom
ΔH_f (0 K): 16 kJ per mole of atoms
M_tot: 4.16 Bohr magnetons per cell

No. 6
Here is an optimized crystal structure of LaAl2Pt from Alexandria via LeMat-Bulk. Energies are from PBE.

a = 4.125 Å, b = 6.314 Å, c = 3.993 Å
α = 72.06°, β = 88.57°, γ = 108.59°
Fractional positions:
La  0.000  0.500  0.500
Pt  0.500  0.500  0.000
Al  0.000  0.000  0.000
Al  0.500  0.000  0.500

Summary:
ΔH_f (0 K): -29 kJ per mole of atoms
M_tot: 0.00 Bohr magnetons per cell

No. 7
Here is an optimized crystal structure of K2Tl2Ag from Alexandria via LeMat-Bulk. Energies are from PBE.

a = 4.839 Å, b = 4.839 Å, c = 8.729 Å
α = 73.91°, β = 73.91°, γ = 90.00°
Fractional positions:
K  0.750  0.250  0.500
K  0.250  0.750  0.500
Tl  0.589  0.589  0.822
Ag  0.000  0.000  0.000
Tl  0.411  0.411  0.178

Summary:
energy above the most stable polymorph in this dataset: 323 meV/atom
ΔH_f (0 K): 31 kJ per mole of atoms
M_tot: 0.00 Bohr magnetons per cell

No. 8
Here is an optimized crystal structure of YEr2P from Alexandria via LeMat-Bulk. Energies are from PBE.

a = 3.705 Å, b = 3.705 Å, c = 10.291 Å
α = 79.63°, β = 79.63°, γ = 60.00°
Fractional positions:
Er  0.887  0.887  0.340
Y  0.000  0.000  0.000
Er  0.113  0.113  0.660
P  0.500  0.500  0.500

Summary:
ΔH_f (0 K): -49 kJ per mole of atoms
M_tot: 1.03 Bohr magnetons per cell

No. 9
Here is an optimized crystal structure of U3CrB7 from Alexandria via LeMat-Bulk. Energies are from PBE.

a = 3.398 Å, b = 7.990 Å, c = 9.278 Å
α = 90.00°, β = 90.00°, γ = 102.28°
Fractional positions:
B  0.365  0.731  0.347
U  0.107  0.213  0.436
B  0.635  0.269  0.847
B  0.523  0.046  0.593
Cr  0.945  0.889  0.250
B  0.726  0.453  0.968
B  0.274  0.547  0.032
B  0.461  0.922  0.750
B  0.365  0.731  0.153
U  0.107  0.213  0.064
B  0.539  0.078  0.250
U  0.253  0.507  0.750
Cr  0.055  0.111  0.750
U  0.747  0.493  0.250
B  0.523  0.046  0.907
B  0.274  0.547  0.468
U  0.893  0.787  0.936
B  0.726  0.453  0.532
B  0.635  0.269  0.653
U  0.893  0.787  0.564
B  0.477  0.954  0.093
B  0.477  0.954  0.407

Summary:
ΔH_f (0 K): -38 kJ per mole of atoms
M_tot: 11.20 Bohr magnetons per cell

No. 10
Here is an optimized crystal structure of LiNbCuO4 from Alexandria via LeMat-Bulk. Energies are from PBE.

a = 5.795 Å, b = 5.795 Å, c = 10.097 Å
α = 90.00°, β = 90.00°, γ = 90.00°
Fractional positions:
Li  0.500  0.741  0.000
Li  0.500  0.259  0.500
O  0.980  0.241  0.236
O  0.241  0.495  0.485
Nb  0.241  0.759  0.375
O  0.759  0.020  0.514
O  0.241  0.505  0.015
O  0.980  0.759  0.264
Nb  0.241  0.241  0.125
O  0.241  0.980  0.014
O  0.505  0.241  0.235
Li  0.259  0.500  0.750
O  0.759  0.505  0.985
Nb  0.759  0.759  0.625
O  0.495  0.759  0.735
Cu  0.260  0.000  0.750
O  0.505  0.759  0.265
Li  0.741  0.500  0.250
O  0.495  0.241  0.765
Nb  0.759  0.241  0.875
O  0.759  0.980  0.986
O  0.241  0.020  0.486
Cu  0.000  0.740  0.000
O  0.020  0.241  0.764
Cu  0.740  0.000  0.250
Cu  0.000  0.260  0.500
O  0.759  0.495  0.515
O  0.020  0.759  0.736

Summary:
energy above the most stable polymorph in this dataset: 0 meV/atom
formation energy from raw total energies: -1.842 eV/atom
M_tot: 4.04 Bohr magnetons per cell

Values for volume, A^3/atom, ordered as above
33.81, 17.43, 18.34, 16.41, 29.70, 23.23, 37.61, 29.91, 11.19, 12.11